No. 1
The following is a DFT calculation (PBE) of a relaxed structure of Cd2CoIr.

extended XYZ file:
```
4
Lattice="-0.2650 1.4843 2.3730 -2.4011 -0.9613 -1.1024 0.8330 -7.7367 4.9322" Properties=species:S:1:pos:R:3 pbc="T T T"
Cd 0.4100 -3.8082 2.4277
Ir -0.7083 -5.5410 4.3345
Cd 0.0065 -0.0602 0.0384
Co -1.1248 -1.6727 1.8684
```

## Properties
crystal system = orthorhombic
formation energy from the elements = 371 meV per atom

No. 2
The following is a DFT calculation (PBE) of a relaxed structure of CdCoIr2.

extended XYZ file:
```
4
Lattice="-2.0994 -2.6273 2.0587 -1.1025 -1.7121 -3.3093 3.0988 -2.3375 0.1770" Properties=species:S:1:pos:R:3 pbc="T T T"
Ir 0.9982 -2.0248 -1.5661
Co 0.4997 -2.4824 1.1179
Ir 0.0000 0.0000 0.0000
Cd -1.6010 -2.1697 -0.6253
```

## Properties
crystal system = tetragonal
formation energy from the elements = 388 meV per atom